A relaxed Be3ZnSn crystal, computed with PBE.

Unit cell a=4.633 b=4.633 c=4.633 alpha=90.00 beta=90.00 gamma=90.00
Element x y z (fractional)
Be1 0.000 0.000 0.500
Be2 0.000 0.500 0.000
Be3 0.500 0.000 0.000
Zn1 0.500 0.500 0.500
Sn1 0.000 0.000 0.000

ρ   3.53 g/cm3
Distance to the lowest polymorph of the same formula   232.8 kJ/mol of formula units
Raw total energy   -0.0755 hartree per atom
Formation enthalpy at 0 K   596 kJ/mol of formula units